Entry 1:
The following is a DFT calculation (PBE) of a relaxed Pm5PrHo12 crystal.

Geometry as CIF:
```
data_Pm5PrHo12
_space_group_name_H-M_alt 'P 1'
_space_group_IT_number 1
_space_group_name_Hall 'P 1'
_cell_length_a 10.355
_cell_length_b 10.355
_cell_length_c 5.948
_cell_angle_alpha 90.01
_cell_angle_beta 90.01
_cell_angle_gamma 113.52
loop_
_atom_site_label
_atom_site_type_symbol
_atom_site_fract_x
_atom_site_fract_y
_atom_site_fract_z
Pm1 Pm 0.000 0.000 0.000
Pm2 Pm 0.168 0.832 0.500
Pm3 Pm 0.332 0.668 0.000
Pm4 Pm 0.668 0.332 0.000
Pm5 Pm 0.832 0.168 0.500
Pr1 Pr 0.500 0.500 0.500
Ho1 Ho 0.011 0.344 0.054
Ho2 Ho 0.155 0.488 0.554
Ho3 Ho 0.175 0.175 0.451
Ho4 Ho 0.322 0.322 0.951
Ho5 Ho 0.344 0.011 0.054
Ho6 Ho 0.488 0.155 0.554
Ho7 Ho 0.512 0.845 0.446
Ho8 Ho 0.656 0.989 0.946
Ho9 Ho 0.678 0.678 0.049
Ho10 Ho 0.825 0.825 0.549
Ho11 Ho 0.845 0.512 0.446
Ho12 Ho 0.989 0.656 0.946
```

Output
Total DFT energy (no corrections) ... -0.1667 Ha/atom
Formation energy ... 0.101 eV per atom
N(E_F) ... 30.193 states/eV/cell
Calculated density ... 8.1 g cm⁻³

Entry 2:
The following is a DFT calculation (PBE) of a relaxed Pm8PrHo3 crystal.

Geometry as CIF:
```
data_Pm8PrHo3
_space_group_name_H-M_alt 'P 1'
_space_group_IT_number 1
_space_group_name_Hall 'P 1'
_cell_length_a 8.772
_cell_length_b 8.772
_cell_length_c 8.772
_cell_angle_alpha 135.80
_cell_angle_beta 99.15
_cell_angle_gamma 97.13
loop_
_atom_site_label
_atom_site_type_symbol
_atom_site_fract_x
_atom_site_fract_y
_atom_site_fract_z
Pm1 Pm 0.083 0.248 0.834
Pm2 Pm 0.237 0.261 0.497
Pm3 Pm 0.237 0.739 0.976
Pm4 Pm 0.414 0.248 0.166
Pm5 Pm 0.586 0.752 0.834
Pm6 Pm 0.763 0.261 0.024
Pm7 Pm 0.763 0.739 0.503
Pm8 Pm 0.917 0.752 0.166
Pr1 Pr 0.500 0.500 0.000
Ho1 Ho 0.000 0.000 0.000
Ho2 Ho 0.234 0.734 0.500
Ho3 Ho 0.766 0.266 0.500
```

Output
Total DFT energy (no corrections) ... -0.1606 Ha/atom
Formation energy ... 0.339 eV per atom
N(E_F) ... 17.359 states/eV/cell
Calculated density ... 6.8 g cm⁻³

Entry 3:
The following is a DFT calculation (PBE) of a relaxed PmPrHo2 crystal.

Geometry as CIF:
```
data_PmPrHo2
_space_group_name_H-M_alt 'P 1'
_space_group_IT_number 1
_space_group_name_Hall 'P 1'
_cell_length_a 10.196
_cell_length_b 5.094
_cell_length_c 10.177
_cell_angle_alpha 90.00
_cell_angle_beta 90.00
_cell_angle_gamma 90.00
loop_
_atom_site_label
_atom_site_type_symbol
_atom_site_fract_x
_atom_site_fract_y
_atom_site_fract_z
Pm1 Pm 0.125 0.250 0.247
Pm2 Pm 0.375 0.750 0.747
Pm3 Pm 0.625 0.250 0.253
Pm4 Pm 0.875 0.750 0.753
Pr1 Pr 0.127 0.750 0.500
Pr2 Pr 0.373 0.250 0.000
Pr3 Pr 0.627 0.750 0.000
Pr4 Pr 0.873 0.250 0.500
Ho1 Ho 0.122 0.750 0.000
Ho2 Ho 0.125 0.250 0.752
Ho3 Ho 0.375 0.750 0.252
Ho4 Ho 0.378 0.250 0.500
Ho5 Ho 0.622 0.750 0.500
Ho6 Ho 0.625 0.250 0.748
Ho7 Ho 0.875 0.750 0.248
Ho8 Ho 0.878 0.250 0.000
```

Output
Total DFT energy (no corrections) ... -0.1709 Ha/atom
Formation energy ... 0.021 eV per atom
N(E_F) ... 24.001 states/eV/cell
Calculated density ... 7.7 g cm⁻³
E above lowest polymorph ... 7 meV/atom

Entry 4:
The following is a DFT calculation (PBE) of a relaxed Pm12Pr6Ho crystal.

Geometry as CIF:
```
data_Pm12Pr6Ho
_space_group_name_H-M_alt 'P 1'
_space_group_IT_number 1
_space_group_name_Hall 'P 1'
_cell_length_a 8.754
_cell_length_b 8.754
_cell_length_c 8.754
_cell_angle_alpha 89.38
_cell_angle_beta 89.38
_cell_angle_gamma 89.38
loop_
_atom_site_label
_atom_site_type_symbol
_atom_site_fract_x
_atom_site_fract_y
_atom_site_fract_z
Pm1 Pm 0.018 0.193 0.359
Pm2 Pm 0.193 0.359 0.018
Pm3 Pm 0.221 0.465 0.564
Pm4 Pm 0.359 0.018 0.193
Pm5 Pm 0.436 0.779 0.535
Pm6 Pm 0.465 0.564 0.221
Pm7 Pm 0.535 0.436 0.779
Pm8 Pm 0.564 0.221 0.465
Pm9 Pm 0.641 0.982 0.807
Pm10 Pm 0.779 0.535 0.436
Pm11 Pm 0.807 0.641 0.982
Pm12 Pm 0.982 0.807 0.641
Pr1 Pr 0.094 0.697 0.263
Pr2 Pr 0.263 0.094 0.697
Pr3 Pr 0.303 0.737 0.906
Pr4 Pr 0.697 0.263 0.094
Pr5 Pr 0.737 0.906 0.303
Pr6 Pr 0.906 0.303 0.737
Ho1 Ho 0.000 0.000 0.000
```

Output
Total DFT energy (no corrections) ... -0.1698 Ha/atom
Formation energy ... 0.130 eV per atom
N(E_F) ... 30.371 states/eV/cell
Calculated density ... 6.8 g cm⁻³
E above lowest polymorph ... 0 meV/atom

Entry 5:
The following is a DFT calculation (PBE) of a relaxed Pm9Pr2Ho crystal.

Geometry as CIF:
```
data_Pm9Pr2Ho
_space_group_name_H-M_alt 'P 1'
_space_group_IT_number 1
_space_group_name_Hall 'P 1'
_cell_length_a 5.158
_cell_length_b 5.158
_cell_length_c 15.483
_cell_angle_alpha 90.00
_cell_angle_beta 90.00
_cell_angle_gamma 90.00
loop_
_atom_site_label
_atom_site_type_symbol
_atom_site_fract_x
_atom_site_fract_y
_atom_site_fract_z
Pm1 Pm 0.000 0.000 0.000
Pm2 Pm 0.000 0.000 0.332
Pm3 Pm 0.000 0.000 0.668
Pm4 Pm 0.000 0.500 0.164
Pm5 Pm 0.000 0.500 0.500
Pm6 Pm 0.000 0.500 0.836
Pm7 Pm 0.500 0.000 0.164
Pm8 Pm 0.500 0.000 0.500
Pm9 Pm 0.500 0.000 0.836
Pr1 Pr 0.500 0.500 0.332
Pr2 Pr 0.500 0.500 0.668
Ho1 Ho 0.500 0.500 0.000
```

Output
Total DFT energy (no corrections) ... -0.1736 Ha/atom
Formation energy ... 0.016 eV per atom
N(E_F) ... 19.625 states/eV/cell
Calculated density ... 7.1 g cm⁻³
E above lowest polymorph ... 0 meV/atom

Entry 6:
The following is a DFT calculation (PBE) of a relaxed PmPr12Ho5 crystal.

Geometry as CIF:
```
data_PmPr12Ho5
_space_group_name_H-M_alt 'P 1'
_space_group_IT_number 1
_space_group_name_Hall 'P 1'
_cell_length_a 10.973
_cell_length_b 10.973
_cell_length_c 5.187
_cell_angle_alpha 90.00
_cell_angle_beta 90.00
_cell_angle_gamma 90.26
loop_
_atom_site_label
_atom_site_type_symbol
_atom_site_fract_x
_atom_site_fract_y
_atom_site_fract_z
Pm1 Pm 0.000 0.000 0.000
Pr1 Pr 0.002 0.668 0.000
Pr2 Pr 0.166 0.166 0.500
Pr3 Pr 0.169 0.502 0.500
Pr4 Pr 0.332 0.998 0.000
Pr5 Pr 0.336 0.336 0.000
Pr6 Pr 0.498 0.831 0.500
Pr7 Pr 0.502 0.169 0.500
Pr8 Pr 0.664 0.664 0.000
Pr9 Pr 0.668 0.002 0.000
Pr10 Pr 0.831 0.498 0.500
Pr11 Pr 0.834 0.834 0.500
Pr12 Pr 0.998 0.332 0.000
Ho1 Ho 0.167 0.833 0.500
Ho2 Ho 0.333 0.667 0.000
Ho3 Ho 0.500 0.500 0.500
Ho4 Ho 0.667 0.333 0.000
Ho5 Ho 0.833 0.167 0.500
```

Output
Total DFT energy (no corrections) ... -0.1727 Ha/atom
Formation energy ... 0.021 eV per atom
N(E_F) ... 29.218 states/eV/cell
Calculated density ... 7.1 g cm⁻³

Entry 7:
The following is a DFT calculation (PBE) of a relaxed Pm2Pr7Ho crystal.

Geometry as CIF:
```
data_Pm2Pr7Ho
_space_group_name_H-M_alt 'P 1'
_space_group_IT_number 1
_space_group_name_Hall 'P 1'
_cell_length_a 9.589
_cell_length_b 9.589
_cell_length_c 5.566
_cell_angle_alpha 90.00
_cell_angle_beta 90.00
_cell_angle_gamma 124.93
loop_
_atom_site_label
_atom_site_type_symbol
_atom_site_fract_x
_atom_site_fract_y
_atom_site_fract_z
Pm1 Pm 0.205 0.795 0.000
Pm2 Pm 0.795 0.205 0.000
Pr1 Pr 0.000 0.000 0.000
Pr2 Pr 0.208 0.430 0.000
Pr3 Pr 0.283 0.717 0.500
Pr4 Pr 0.430 0.208 0.000
Pr5 Pr 0.570 0.792 0.000
Pr6 Pr 0.717 0.283 0.500
Pr7 Pr 0.792 0.570 0.000
Ho1 Ho 0.500 0.500 0.500
```

Output
Total DFT energy (no corrections) ... -0.1523 Ha/atom
Formation energy ... 0.611 eV per atom
N(E_F) ... 15.858 states/eV/cell
Calculated density ... 5.7 g cm⁻³
E above lowest polymorph ... 253 meV/atom

Entry 8:
The following is a DFT calculation (PBE) of a relaxed Pm8Pr2Ho3 crystal.

Geometry as CIF:
```
data_Pm8Pr2Ho3
_space_group_name_H-M_alt 'P 1'
_space_group_IT_number 1
_space_group_name_Hall 'P 1'
_cell_length_a 6.283
_cell_length_b 6.291
_cell_length_c 11.493
_cell_angle_alpha 89.96
_cell_angle_beta 79.48
_cell_angle_gamma 80.41
loop_
_atom_site_label
_atom_site_type_symbol
_atom_site_fract_x
_atom_site_fract_y
_atom_site_fract_z
Pm1 Pm 0.040 0.080 0.350
Pm2 Pm 0.193 0.381 0.726
Pm3 Pm 0.347 0.692 0.119
Pm4 Pm 0.423 0.843 0.803
Pm5 Pm 0.577 0.157 0.197
Pm6 Pm 0.653 0.308 0.881
Pm7 Pm 0.807 0.619 0.274
Pm8 Pm 0.960 0.920 0.650
Pr1 Pr 0.116 0.230 0.040
Pr2 Pr 0.884 0.770 0.960
Ho1 Ho 0.270 0.539 0.425
Ho2 Ho 0.500 0.000 0.500
Ho3 Ho 0.730 0.461 0.575
```

Output
Total DFT energy (no corrections) ... -0.1726 Ha/atom
Formation energy ... 0.018 eV per atom
N(E_F) ... 20.084 states/eV/cell
Calculated density ... 7.3 g cm⁻³
E above lowest polymorph ... 0 meV/atom

Entry 9:
The following is a DFT calculation (PBE) of a relaxed PmPr7Ho3 crystal.

Geometry as CIF:
```
data_PmPr7Ho3
_space_group_name_H-M_alt 'P 1'
_space_group_IT_number 1
_space_group_name_Hall 'P 1'
_cell_length_a 7.863
_cell_length_b 7.863
_cell_length_c 6.486
_cell_angle_alpha 94.59
_cell_angle_beta 94.59
_cell_angle_gamma 81.94
loop_
_atom_site_label
_atom_site_type_symbol
_atom_site_fract_x
_atom_site_fract_y
_atom_site_fract_z
Pm1 Pm 0.000 0.000 0.000
Pr1 Pr 0.000 0.000 0.500
Pr2 Pr 0.077 0.428 0.760
Pr3 Pr 0.265 0.265 0.285
Pr4 Pr 0.428 0.077 0.760
Pr5 Pr 0.572 0.923 0.240
Pr6 Pr 0.735 0.735 0.715
Pr7 Pr 0.923 0.572 0.240
Ho1 Ho 0.332 0.668 0.500
Ho2 Ho 0.500 0.500 0.000
Ho3 Ho 0.668 0.332 0.500
```

Output
Total DFT energy (no corrections) ... -0.1652 Ha/atom
Formation energy ... 0.225 eV per atom
N(E_F) ... 15.426 states/eV/cell
Calculated density ... 6.8 g cm⁻³
E above lowest polymorph ... 12 meV/atom

Entry 10:
The following is a DFT calculation (PBE) of a relaxed Pm12Pr7Ho crystal.

Geometry as CIF:
```
data_Pm12Pr7Ho
_space_group_name_H-M_alt 'P 1'
_space_group_IT_number 1
_space_group_name_Hall 'P 1'
_cell_length_a 10.065
_cell_length_b 10.065
_cell_length_c 10.065
_cell_angle_alpha 109.47
_cell_angle_beta 109.47
_cell_angle_gamma 109.47
loop_
_atom_site_label
_atom_site_type_symbol
_atom_site_fract_x
_atom_site_fract_y
_atom_site_fract_z
Pm1 Pm 0.001 0.247 0.754
Pm2 Pm 0.246 0.492 0.247
Pm3 Pm 0.246 0.999 0.753
Pm4 Pm 0.247 0.246 0.492
Pm5 Pm 0.247 0.754 0.001
Pm6 Pm 0.492 0.247 0.246
Pm7 Pm 0.508 0.753 0.754
Pm8 Pm 0.753 0.246 0.999
Pm9 Pm 0.753 0.754 0.508
Pm10 Pm 0.754 0.001 0.247
Pm11 Pm 0.754 0.508 0.753
Pm12 Pm 0.999 0.753 0.246
Pr1 Pr 0.000 0.000 0.500
Pr2 Pr 0.000 0.500 0.000
Pr3 Pr 0.000 0.500 0.500
Pr4 Pr 0.500 0.000 0.000
Pr5 Pr 0.500 0.000 0.500
Pr6 Pr 0.500 0.500 0.000
Pr7 Pr 0.500 0.500 0.500
Ho1 Ho 0.000 0.000 0.000
```

Output
Total DFT energy (no corrections) ... -0.1528 Ha/atom
Formation energy ... 0.594 eV per atom
N(E_F) ... 29.625 states/eV/cell
Calculated density ... 6.1 g cm⁻³
E above lowest polymorph ... 378 meV/atom

Entry 11:
The following is a DFT calculation (PBE) of a relaxed Pm6Pr4Ho crystal.

Geometry as CIF:
```
data_Pm6Pr4Ho
_space_group_name_H-M_alt 'P 1'
_space_group_IT_number 1
_space_group_name_Hall 'P 1'
_cell_length_a 9.686
_cell_length_b 9.686
_cell_length_c 9.686
_cell_angle_alpha 138.62
_cell_angle_beta 138.62
_cell_angle_gamma 59.96
loop_
_atom_site_label
_atom_site_type_symbol
_atom_site_fract_x
_atom_site_fract_y
_atom_site_fract_z
Pm1 Pm 0.000 0.500 0.500
Pm2 Pm 0.055 0.709 0.000
Pm3 Pm 0.291 0.291 0.346
Pm4 Pm 0.500 0.000 0.500
Pm5 Pm 0.709 0.055 0.000
Pm6 Pm 0.945 0.945 0.654
Pr1 Pr 0.133 0.133 0.621
Pr2 Pr 0.488 0.867 0.000
Pr3 Pr 0.512 0.512 0.379
Pr4 Pr 0.867 0.488 0.000
Ho1 Ho 0.500 0.500 0.000
```

Output
Total DFT energy (no corrections) ... -0.1643 Ha/atom
Formation energy ... 0.275 eV per atom
N(E_F) ... 15.979 states/eV/cell
Calculated density ... 6.8 g cm⁻³
E above lowest polymorph ... 0 meV/atom

Entry 12:
The following is a DFT calculation (PBE) of a relaxed PmPr3Ho12 crystal.

Geometry as CIF:
```
data_PmPr3Ho12
_space_group_name_H-M_alt 'P 1'
_space_group_IT_number 1
_space_group_name_Hall 'P 1'
_cell_length_a 5.044
_cell_length_b 5.044
_cell_length_c 20.189
_cell_angle_alpha 90.00
_cell_angle_beta 90.00
_cell_angle_gamma 90.00
loop_
_atom_site_label
_atom_site_type_symbol
_atom_site_fract_x
_atom_site_fract_y
_atom_site_fract_z
Pm1 Pm 0.000 0.000 0.000
Pr1 Pr 0.000 0.000 0.250
Pr2 Pr 0.000 0.000 0.500
Pr3 Pr 0.000 0.000 0.750
Ho1 Ho 0.000 0.500 0.124
Ho2 Ho 0.000 0.500 0.375
Ho3 Ho 0.000 0.500 0.625
Ho4 Ho 0.000 0.500 0.876
Ho5 Ho 0.500 0.000 0.124
Ho6 Ho 0.500 0.000 0.375
Ho7 Ho 0.500 0.000 0.625
Ho8 Ho 0.500 0.000 0.876
Ho9 Ho 0.500 0.500 0.000
Ho10 Ho 0.500 0.500 0.249
Ho11 Ho 0.500 0.500 0.500
Ho12 Ho 0.500 0.500 0.751
```

Output
Total DFT energy (no corrections) ... -0.1692 Ha/atom
Formation energy ... 0.023 eV per atom
N(E_F) ... 22.617 states/eV/cell
Calculated density ... 8.2 g cm⁻³